1.
An optimized crystal structure of Fe3As2O16. Source: Alexandria, functional PBE+U.

a b c (Å): 4.962 8.045 8.170
angles (deg): 100.22 78.73 108.73
Site moments in Bohr magnetons follow the coordinates.
Element x y z (fractional)
O 0.953 0.640 0.518  -0.08
O 0.795 0.037 0.764  0.10
O 0.197 0.911 0.884  0.13
O 0.140 0.465 0.368  -0.08
O 0.803 0.089 0.116  0.13
O 0.205 0.963 0.236  0.10
O 0.047 0.360 0.482  -0.08
O 0.581 0.746 0.958  0.10
O 0.304 0.337 0.730  0.49
O 0.555 0.288 0.369  0.11
O 0.696 0.663 0.270  0.49
O 0.869 0.599 0.146  0.56
O 0.419 0.254 0.042  0.10
O 0.445 0.712 0.631  0.11
O 0.860 0.535 0.632  -0.08
O 0.131 0.401 0.854  0.56
Fe 0.500 0.500 0.500  4.17
Fe 0.895 0.847 0.096  4.25
Fe 0.105 0.153 0.904  4.25
As 0.518 0.851 0.810  0.03
As 0.482 0.149 0.190  0.03

The excess energy over the best structure of this formula in the dataset comes out at 0.022 eV/atom. The calculation puts the density at 3.2 Mg/m³. Its calculated total energy is -120.606 eV/cell. The calculation puts the density of states at the Fermi level at 0.28 states/eV/f.u.



2.
An optimized crystal structure of Fe3AsO. Source: Alexandria, functional PBE+U.

a b c (Å): 4.198 4.198 4.198
angles (deg): 90.00 90.00 90.00
Site moments in Bohr magnetons follow the coordinates.
Element x y z (fractional)
Fe 0.000 0.000 0.500  3.45
Fe 0.500 0.000 0.000  3.67
Fe 0.000 0.500 0.000  3.51
O 0.000 0.000 0.000  0.16
As 0.500 0.500 0.500  0.14

The excess energy over the best structure of this formula in the dataset comes out at 0.000 eV/atom. The calculation puts the density at 5.8 Mg/m³. Its calculated total energy is -27.037 eV/cell. The calculation puts the density of states at the Fermi level at 5.84 states/eV/f.u.